The following is a DFT calculation (PBE) of a relaxed Nd8Ir3RhBr4 crystal.

raw formation energy: -1.090 eV/atom
uncorrected energy: -6.0132 eV/atom

abc: 8.320 9.166 8.318
angles: 116.99 120.01 90.00
Atoms (fractional coordinates):
Br 0.500 0.000 0.000
Br 0.000 0.000 0.000
Br 0.000 0.000 0.500
Br 0.500 0.000 0.500
Rh 0.000 0.500 0.000
Ir 0.000 0.500 0.500
Ir 0.500 0.500 0.000
Ir 0.500 0.500 0.500
Nd 0.269 0.305 0.537
Nd 0.731 0.695 0.463
Nd 0.730 0.695 0.963
Nd 0.768 0.305 0.536
Nd 0.232 0.695 0.464
Nd 0.768 0.305 0.037
Nd 0.270 0.305 0.037
Nd 0.232 0.695 0.963